Entry 1:
A geometry-optimized CsAuSO structure, computed with PBE.

Unit cell a=8.119 b=9.012 c=5.860 alpha=90.00 beta=90.00 gamma=90.00
Atoms (fractional coordinates):
Cs: 0.094 0.160 0.000
Cs: 0.406 0.160 0.500
Cs: 0.594 0.840 0.000
Cs: 0.906 0.840 0.500
Au: 0.131 0.673 0.985
Au: 0.369 0.673 0.485
Au: 0.631 0.327 0.985
Au: 0.869 0.327 0.485
S: 0.189 0.513 0.673
S: 0.311 0.513 0.173
S: 0.689 0.487 0.673
S: 0.811 0.487 0.173
O: 0.014 0.156 0.505
O: 0.486 0.156 0.005
O: 0.514 0.844 0.505
O: 0.986 0.844 0.005

Results
excess energy over the best structure of this formula in the dataset	283.0	meV per atom
SG	Pca2_1 (29)

***

Entry 2:
A geometry-optimized CsAuSO structure, computed with PBE.

Unit cell a=4.797 b=4.797 c=8.734 alpha=90.00 beta=90.00 gamma=90.00
Atoms (fractional coordinates):
Cs: 0.250 0.750 0.000
Cs: 0.750 0.250 0.000
Au: 0.250 0.250 0.499
Au: 0.750 0.750 0.501
S: 0.250 0.250 0.236
S: 0.750 0.750 0.764
O: 0.250 0.750 0.500
O: 0.750 0.250 0.500

Results
excess energy over the best structure of this formula in the dataset	1005.1	meV per atom
SG	P4/nmm (129)

***

Entry 3:
A geometry-optimized CsAuSO structure, computed with PBE.

Unit cell a=4.571 b=7.136 c=6.712 alpha=90.00 beta=90.00 gamma=90.00
Atoms (fractional coordinates):
Cs: 0.000 0.149 0.000
Cs: 0.000 0.851 0.500
Au: 0.500 0.460 0.428
Au: 0.500 0.540 0.928
S: 0.000 0.360 0.484
S: 0.000 0.640 0.984
O: 0.500 0.342 0.153
O: 0.500 0.658 0.653

Results
excess energy over the best structure of this formula in the dataset	265.2	meV per atom
SG	Pmc2_1 (26)